Version a
Below is a PBEsol-optimized structure of Be2CoIr, with properties calculated at the SCAN level.

Cell: 2.8145 3.5451 4.1102 Å, 90.00 90.00 90.00°
Space group Pmmm (No. 47)
Inequivalent atoms, fractional coordinates:
Be (0.0000, 0.0000, 0.0000) [1 per cell]
Be (0.5000, 0.0000, 0.5000) [1 per cell]
Co (0.0000, 0.5000, 0.5000) [1 per cell]
Ir (0.5000, 0.5000, 0.0000) [1 per cell]

calculated volume = 10.25 Å³/atom
total magnetization = 0.38 μB per atom

---

Version b
Below is a PBEsol-optimized structure of Be2CoIr, with properties calculated at the SCAN level.

Cell: 3.7658 3.7658 2.7445 Å, 90.00 90.00 90.00°
Space group P4/mmm (No. 123)
Inequivalent atoms, fractional coordinates:
Be (0.0000, 0.5000, 0.0000) [2 per cell]
Co (0.0000, 0.0000, 0.5000) [1 per cell]
Ir (0.5000, 0.5000, 0.5000) [1 per cell]

calculated volume = 9.73 Å³/atom
total magnetization = 0.19 μB per atom

---

Which one sits at the top of the stability order? version b does.

---

Version a
Below is a PBEsol-optimized structure of LaBe2Co, with properties calculated at the SCAN level.

Cell: 6.5490 3.9084 5.0453 Å, 90.00 105.50 90.00°
Space group Cm (No. 8)
Inequivalent atoms, fractional coordinates:
La (0.0000, 0.0000, 0.0000) [2 per cell]
Be (0.0971, 0.5000, 0.4981) [2 per cell]
Be (0.2776, 0.0000, 0.5324) [2 per cell]
Co (0.4254, 0.5000, 0.4632) [2 per cell]

calculated volume = 15.56 Å³/atom
total magnetization = 0.00 μB per atom

---

Version b
Below is a PBEsol-optimized structure of LaBe2Co, with properties calculated at the SCAN level.

Cell: 4.8424 7.5434 3.2287 Å, 90.00 90.00 90.00°
Space group Cmmm (No. 65)
Inequivalent atoms, fractional coordinates:
La (0.0000, 0.0000, 0.0000) [2 per cell]
Be (0.2500, 0.2500, 0.5000) [4 per cell]
Co (0.0000, 0.5000, 0.0000) [2 per cell]

calculated volume = 14.74 Å³/atom
total magnetization = 0.00 μB per atom

---

Which one sits at the top of the stability order? version a does.